A plane-wave DFT calculation with PBE+U was carried out for BaNdNiSbO6 after structural relaxation.

```
BaNdNiSbO6
1.0
5.732 0.000 0.000
0.000 5.798 0.000
-5.731 0.000 8.072
Ba Nd Ni Sb O
2 2 2 2 12
direct
0.000 0.238 0.000
0.000 0.762 0.500
0.483 0.298 0.502
0.483 0.702 0.002
0.747 0.242 0.250
0.747 0.758 0.750
0.248 0.245 0.749
0.248 0.755 0.249
0.030 0.489 0.781
0.030 0.511 0.281
0.098 0.035 0.297
0.098 0.965 0.797
0.449 0.499 0.712
0.449 0.501 0.212
0.484 0.045 0.702
0.484 0.955 0.202
0.540 0.284 0.994
0.540 0.716 0.494
0.907 0.241 0.507
0.907 0.759 0.007
```

Output
Total DFT energy (no corrections)   -6.490 eV/atom
Space group   Pc (7)
V   13.4 Å³ per atom
M_tot   1.93 μB/f.u.